This record from Alexandria via LeMat-Bulk describes a relaxed structure of LiInTc. The functional is GGA-PBEsol.

Structure (POSCAR):
```
LiInTc
1.0
2.861 0.000 0.000
-1.431 2.478 0.000
0.000 0.000 7.038
Li In Tc
1 1 1
direct
0.000 0.000 0.000
0.333 0.667 0.350
0.667 0.333 0.683
```

Its energy of formation is 352.6 meV per atom.